This record from Alexandria describes a relaxed structure of Ti3HPb. The functional is PBE-GGA.

Its symmetry is No. 15. As for the total DFT energy (no corrections): -6.04 eV/atom. The offset from the most stable computed form comes out at 318.6 meV/atom.

Structure (extended XYZ):
```
20
Lattice="5.184 -7.513 0.000 5.184 7.513 0.000 -2.210 0.000 4.323" Properties=species:S:1:pos:R:3 pbc="T T T"
Ti 2.344 6.333 3.989
Ti 4.708 6.333 2.496
Ti 2.202 3.694 4.013
Ti 3.414 1.483 1.798
Ti 4.850 3.694 2.472
Ti 5.848 1.483 0.364
Ti 2.309 -1.483 3.959
Ti 3.307 -3.694 1.851
Ti 4.743 -1.483 2.525
Ti 5.955 -3.694 0.310
Ti 3.449 -6.333 1.827
Ti 5.813 -6.333 0.334
H 4.631 7.511 1.081
H 3.526 -7.511 3.242
H 3.526 4.957 3.242
H 4.631 -4.957 1.081
Pb 0.943 1.331 3.249
Pb 2.048 -1.331 1.088
Pb 6.109 1.331 3.235
Pb 7.214 -1.331 1.074
```